Computed, not measured: a relaxed structure of Tb7CeEr12 at the PBE-GGA level of DFT.

CIF file:
```
data_Tb7CeEr12
_chemical_formula_sum 'Tb7 Ce1 Er12'
_cell_length_a 8.6102
_cell_length_b 8.6102
_cell_length_c 8.6102
_cell_angle_alpha 90.38
_cell_angle_beta 90.38
_cell_angle_gamma 90.38
_space_group_name_H-M_alt 'P 1'
_space_group_IT_number 1
loop_
_space_group_symop_operation_xyz
'x,y,z'
loop_
_atom_site_label
_atom_site_type_symbol
_atom_site_fract_x
_atom_site_fract_y
_atom_site_fract_z
Er1 Er 0.3505 0.4578 0.1256
Er2 Er 0.7676 0.3738 0.2262
Er3 Er 0.6495 0.5422 0.8744
Er4 Er 0.3738 0.2262 0.7676
Er5 Er 0.8744 0.6495 0.5422
Er6 Er 0.4578 0.1256 0.3505
Er7 Er 0.6262 0.7738 0.2324
Er8 Er 0.1256 0.3505 0.4578
Er9 Er 0.2324 0.6262 0.7738
Er10 Er 0.5422 0.8744 0.6495
Er11 Er 0.7738 0.2324 0.6262
Er12 Er 0.2262 0.7676 0.3738
Tb1 Tb 0.5000 0.5000 0.5000
Tb2 Tb 0.0627 0.9679 0.6729
Tb3 Tb 0.9679 0.6729 0.0627
Tb4 Tb 0.3271 0.9373 0.0321
Tb5 Tb 0.0321 0.3271 0.9373
Tb6 Tb 0.6729 0.0627 0.9679
Tb7 Tb 0.9373 0.0321 0.3271
Ce1 Ce 0.0000 0.0000 0.0000
```

Crystal system = trigonal
Volume = 31.915 Å³ per atom
Energy of formation from the pure elements = 5.01 eV per formula unit
E above lowest polymorph = 0.00 eV/f.u.
Total DFT energy (no corrections) = -4.4043 eV/atom